No. 1
Material: Pr6SiCl8
Method: DFT, PBE
State: relaxed

POSCAR file:
```
Pr6SiCl8
1.0
3.6180 2.0889 10.1292
-3.6180 2.0889 10.1292
0.0000 -4.1778 10.1292
Pr Si Cl
6 1 8
Cartesian
-1.1234 -1.9468 13.5359
-2.2477 -0.0005 16.8518
-1.1243 1.9463 13.5359
1.1243 -1.9463 16.8517
2.2477 0.0005 13.5359
1.1234 1.9468 16.8517
0.0000 0.0000 15.1938
-2.4323 -0.0006 11.8941
0.0000 0.0000 5.0652
-1.2156 -2.1067 18.4935
1.2167 -2.1061 11.8941
-1.2167 2.1061 18.4935
1.2156 2.1067 11.8941
0.0000 0.0000 25.3224
2.4323 0.0006 18.4935
```

Properties
magnetization: 0.00 μB per cell
SG: R-3
uncorrected formation energy: -1.736 eV per atom
calculated total energy: -74.9 eV/cell

No. 2
Material: Pr2Si2Cl
Method: DFT, PBE
State: relaxed

POSCAR file:
```
Pr2Si2Cl
1.0
-4.0021 8.2505 1.9778
4.0021 -8.2505 1.9778
4.0021 8.2505 -1.9778
Pr Si Cl
4 4 2
Cartesian
2.0011 10.0133 -0.9889
2.0011 1.7629 0.9889
-2.0011 6.4876 0.9889
2.0011 6.4876 0.9889
4.0021 7.5646 -0.9887
4.0021 -0.6859 0.9887
0.0000 8.9364 0.9891
0.0000 0.6859 2.9665
0.0000 4.1252 0.9841
4.0021 4.1252 0.9937
```

Properties
magnetization: 0.00 μB per cell
SG: Imma
uncorrected formation energy: -1.089 eV per atom
calculated total energy: -55.4 eV/cell

No. 3
Material: Pr5Si2Cl
Method: DFT, PBE
State: relaxed

POSCAR file:
```
Pr5Si2Cl
1.0
-3.8843 3.8843 7.2999
3.8843 -3.8843 7.2999
3.8843 3.8843 -7.2999
Pr Si Cl
10 4 2
Cartesian
0.0000 0.0000 0.0000
5.1986 1.3143 -2.0509
1.3143 2.5700 -2.0509
5.1986 1.3143 2.0509
1.3143 2.5700 2.0509
0.0000 0.0000 7.2999
2.5700 1.3143 5.2491
-1.3143 2.5700 5.2491
2.5700 1.3143 9.3508
-1.3143 2.5700 9.3508
2.9516 0.9327 0.0000
2.9516 -0.9327 7.2999
0.9327 4.8170 0.0000
0.9327 2.9516 7.2999
0.0000 0.0000 3.6500
0.0000 0.0000 10.9499
```

Properties
magnetization: 0.01 μB per cell
SG: I4/mcm
uncorrected formation energy: -0.622 eV per atom
calculated total energy: -83.1 eV/cell

No. 4
Material: PrSmSiCl
Method: DFT, PBE
State: relaxed

POSCAR file:
```
PrSmSiCl
1.0
5.8260 0.0000 0.0000
0.0000 2.4756 4.3406
0.0000 -2.4756 4.3406
Pr Sm Si Cl
1 1 1 1
Cartesian
0.0000 0.0000 0.0000
2.9130 0.0000 5.8060
2.9130 0.0000 0.0009
0.0000 0.0000 5.8061
```

Properties
magnetization: 0.00 μB per cell
SG: Amm2
uncorrected formation energy: -0.888 eV per atom
calculated total energy: -20.3 eV/cell

No. 5
Material: Pr6Si2TeCl3
Method: DFT, PBE
State: relaxed

POSCAR file:
```
Pr6Si2TeCl3
1.0
9.2893 -2.1683 0.0000
9.2893 2.1683 0.0000
-1.5832 0.0000 8.4165
Pr Si Te Cl
6 2 1 3
Cartesian
-0.1747 0.0000 2.3051
4.6406 0.0000 7.4191
5.4505 0.0000 3.5795
11.5448 0.0000 4.8370
12.3547 0.0000 0.9974
17.1700 0.0000 6.1114
2.6125 0.0000 2.8646
14.3828 0.0000 5.5519
9.2893 0.0000 0.0000
1.6891 0.0000 7.0536
8.4977 0.0000 4.2083
15.3062 0.0000 1.3629
```

Properties
magnetization: 0.00 μB per cell
SG: C2/m
uncorrected formation energy: -1.273 eV per atom
calculated total energy: -63.5 eV/cell

No. 6
Material: Pr6Si2Te3Cl
Method: DFT, PBE
State: relaxed

POSCAR file:
```
Pr6Si2Te3Cl
1.0
9.6956 -2.1823 0.0000
9.6956 2.1823 0.0000
-2.1762 0.0000 8.6698
Pr Si Te Cl
6 2 3 1
Cartesian
-0.2868 0.0000 2.2248
5.4039 0.0000 3.7387
4.4593 0.0000 7.6964
12.7557 0.0000 0.9734
11.8112 0.0000 4.9310
17.5019 0.0000 6.4450
2.5210 0.0000 2.8868
14.6940 0.0000 5.7829
1.2995 0.0000 7.2458
8.6075 0.0000 4.3349
15.9156 0.0000 1.4239
9.6956 0.0000 0.0000
```

Properties
magnetization: 0.00 μB per cell
SG: C2/m
uncorrected formation energy: -1.265 eV per atom
calculated total energy: -66.0 eV/cell

No. 7
Material: Pr3SiTeCl
Method: DFT, PBE
State: relaxed

POSCAR file:
```
Pr3SiTeCl
1.0
8.9958 0.0000 0.0000
0.0000 4.3287 0.0000
-0.7181 0.0000 10.0198
Pr Si Te Cl
6 2 2 2
Cartesian
0.6507 1.0822 3.5235
0.8492 1.0822 9.3629
2.8121 3.2466 6.4396
5.4656 1.0822 3.5802
7.4284 3.2466 0.6569
7.6269 3.2466 6.4964
0.7360 1.0822 6.5010
7.5416 3.2466 3.5189
3.0511 3.2466 3.2040
5.2265 1.0822 6.8159
2.6536 3.2466 9.3376
5.6241 1.0822 0.6822
```

Properties
magnetization: 2.38 μB per cell
SG: P2_1/m
uncorrected formation energy: -1.146 eV per atom
calculated total energy: -63.2 eV/cell

No. 8
Material: Pr8Si3Te4Cl
Method: DFT, PBE
State: relaxed

POSCAR file:
```
Pr8Si3Te4Cl
1.0
4.3762 2.5266 7.3629
-4.3762 2.5266 7.3629
0.0000 -5.0532 7.3629
Pr Si Te Cl
8 3 4 1
Cartesian
-2.2672 -1.3090 12.6921
0.0000 0.0000 5.3290
0.0000 -2.6179 9.3967
-2.2672 1.3090 9.3967
2.2672 -1.3090 12.6921
0.0000 2.6179 12.6921
0.0000 0.0000 16.7598
2.2672 1.3090 9.3967
-4.3762 0.0000 11.0444
-2.1881 1.2633 3.6815
2.1881 1.2633 3.6815
0.0000 0.0000 0.0000
-2.1881 -1.2633 7.3629
-2.1881 1.2633 14.7259
0.0000 2.5266 7.3629
0.0000 0.0000 11.0444
```

Properties
magnetization: 0.00 μB per cell
SG: R-3m
uncorrected formation energy: -1.243 eV per atom
calculated total energy: -88.8 eV/cell

No. 9
Material: Pr4SiTeCl2
Method: DFT, PBE
State: relaxed

POSCAR file:
```
Pr4SiTeCl2
1.0
7.2283 0.0000 0.0000
0.0000 4.3376 0.0000
-2.6795 0.0000 7.3094
Pr Si Te Cl
4 1 1 2
Cartesian
1.1048 0.0000 1.5873
-0.3062 2.1688 5.7393
4.8550 2.1688 1.5701
3.4439 0.0000 5.7221
0.0000 2.1688 0.0000
-1.3398 0.0000 3.6547
3.6141 0.0000 0.0000
2.2744 2.1688 3.6547
```

Properties
magnetization: 0.00 μB per cell
SG: P2/m
uncorrected formation energy: -1.323 eV per atom
calculated total energy: -42.0 eV/cell

No. 10
Material: Pr6TlSi2Cl3
Method: DFT, PBE
State: relaxed

POSCAR file:
```
Pr6TlSi2Cl3
1.0
9.3965 -2.1427 0.0000
9.3965 2.1427 0.0000
-1.6633 0.0000 8.5334
Pr Tl Si Cl
6 1 2 3
Cartesian
-0.2849 0.0000 2.2714
5.4424 0.0000 3.6210
4.7308 0.0000 7.5900
12.3988 0.0000 0.9435
11.6873 0.0000 4.9125
17.4145 0.0000 6.2620
9.3965 0.0000 0.0000
2.5885 0.0000 2.9001
14.5412 0.0000 5.6334
1.7697 0.0000 7.1384
8.5648 0.0000 4.2667
15.3600 0.0000 1.3950
```

Properties
magnetization: 0.00 μB per cell
SG: C2/m
uncorrected formation energy: -1.067 eV per atom
calculated total energy: -60.2 eV/cell

No. 11
Material: Pr4ZnSiCl2
Method: DFT, PBE
State: relaxed

POSCAR file:
```
Pr4ZnSiCl2
1.0
7.3194 0.0000 0.0000
0.0000 4.2444 0.0000
-2.4427 0.0000 7.0196
Pr Zn Si Cl
4 1 1 2
Cartesian
1.1550 0.0000 1.6751
-0.0592 2.1222 5.2759
4.9359 2.1222 1.7438
3.7217 0.0000 5.3445
-1.2213 0.0000 3.5098
0.0000 2.1222 0.0000
3.6597 0.0000 0.0000
2.4383 2.1222 3.5098
```

Properties
magnetization: 0.00 μB per cell
SG: P2/m
uncorrected formation energy: -0.996 eV per atom
calculated total energy: -37.5 eV/cell

No. 12
Material: Pr2SmCl
Method: DFT, PBE
State: relaxed

POSCAR file:
```
Pr2SmCl
1.0
1.8622 1.0752 10.3851
-1.8622 1.0752 10.3851
0.0000 -2.1503 10.3851
Pr Sm Cl
2 1 1
Cartesian
0.0000 0.0000 7.4556
0.0000 0.0000 23.6996
0.0000 0.0000 0.0000
0.0000 0.0000 15.5776
```

Properties
magnetization: 0.00 μB per cell
SG: R-3m
uncorrected formation energy: -0.682 eV per atom
calculated total energy: -18.9 eV/cell

No. 13
Material: PrSmTe2Cl
Method: DFT, PBE
State: relaxed

POSCAR file:
```
PrSmTe2Cl
1.0
4.4067 0.0000 0.0000
0.0000 4.4067 0.0000
0.0000 0.0000 15.1873
Pr Sm Te Cl
2 2 4 2
Cartesian
1.1017 1.1017 2.0270
3.3050 3.3050 13.1603
1.1017 1.1017 8.8853
3.3050 3.3050 6.3021
1.1017 1.1017 5.6995
1.1017 1.1017 12.1006
3.3050 3.3050 3.0867
3.3050 3.3050 9.4878
1.1017 3.3050 0.0000
3.3050 1.1017 0.0000
```

Properties
magnetization: 0.00 μB per cell
SG: P4/nmm
uncorrected formation energy: -1.649 eV per atom
calculated total energy: -51.7 eV/cell

No. 14
Material: PrSmTeCl
Method: DFT, PBE
State: relaxed

POSCAR file:
```
PrSmTeCl
1.0
0.0000 3.7501 3.7501
3.7501 0.0000 3.7501
3.7501 3.7501 0.0000
Pr Sm Te Cl
1 1 1 1
Cartesian
0.0000 0.0000 0.0000
3.7501 3.7501 3.7501
5.6252 5.6252 5.6252
1.8751 1.8751 1.8751
```

Properties
magnetization: 0.00 μB per cell
SG: F-43m
uncorrected formation energy: -1.292 eV per atom
calculated total energy: -19.7 eV/cell

No. 15
Material: Pr2SnCl
Method: DFT, PBE
State: relaxed

POSCAR file:
```
Pr2SnCl
1.0
2.1854 1.2617 7.6572
-2.1854 1.2617 7.6572
0.0000 -2.5235 7.6572
Pr Sn Cl
2 1 1
Cartesian
0.0000 0.0000 0.0000
0.0000 0.0000 4.0900
0.0000 0.0000 13.5201
0.0000 0.0000 17.4520
```

Properties
magnetization: 0.00 μB per cell
SG: R3m
uncorrected formation energy: -1.016 eV per atom
polymorph energy (0 for the lowest one): 0.379 eV/f.u.
calculated total energy: -19.5 eV/cell

No. 16
Material: Pr2SnCl
Method: DFT, PBE
State: relaxed

POSCAR file:
```
Pr2SnCl
1.0
2.2683 1.3096 6.7243
-2.2683 1.3096 6.7243
0.0000 -2.6192 6.7243
Pr Sn Cl
2 1 1
Cartesian
0.0000 0.0000 5.0039
0.0000 0.0000 15.1690
0.0000 0.0000 0.0000
0.0000 0.0000 10.0864
```

Properties
magnetization: 0.00 μB per cell
SG: R-3m
uncorrected formation energy: -1.111 eV per atom
polymorph energy (0 for the lowest one): 0.000 eV/f.u.
calculated total energy: -19.9 eV/cell

No. 17
Material: PrSnCl5
Method: DFT, PBE
State: relaxed

POSCAR file:
```
PrSnCl5
1.0
4.6187 -5.7662 0.0000
4.6187 5.7662 0.0000
-0.3879 0.0000 8.2486
Pr Sn Cl
2 2 10
Cartesian
4.3277 5.0177 6.1864
4.5217 -5.0177 2.0621
4.6187 0.0000 0.0000
4.4247 0.0000 4.1243
3.7821 4.2801 3.5681
5.2612 4.2801 0.5562
2.7532 1.0872 1.9384
4.3277 2.0511 6.1864
2.5593 -1.0872 6.0627
6.2902 1.0872 2.1859
4.5217 -2.0511 2.0621
6.0962 -1.0872 6.3102
3.5882 -4.2801 7.6924
5.0673 -4.2801 4.6805
```

Properties
magnetization: 0.00 μB per cell
SG: C2/c
uncorrected formation energy: -1.691 eV per atom
calculated total energy: -59.7 eV/cell

No. 18
Material: PrSn2Cl8
Method: DFT, PBE
State: relaxed

POSCAR file:
```
PrSn2Cl8
1.0
6.4386 -4.1945 0.0000
6.4386 4.1945 0.0000
-2.6714 0.0000 7.5647
Pr Sn Cl
1 2 8
Cartesian
0.0000 0.0000 0.0000
0.0645 0.0000 4.6701
10.1414 0.0000 2.8946
4.7982 2.3722 1.3760
1.5402 0.0000 2.2907
5.4077 2.3722 6.1887
2.1567 0.0000 5.8167
8.0492 0.0000 1.7481
4.7982 -2.3722 1.3760
8.6657 0.0000 5.2740
5.4077 -2.3722 6.1887
```

Properties
magnetization: 0.00 μB per cell
SG: C2/m
uncorrected formation energy: -1.312 eV per atom
polymorph energy (0 for the lowest one): 0.088 eV/f.u.
calculated total energy: -42.0 eV/cell

No. 19
Material: Pr3SnCl3
Method: DFT, PBE
State: relaxed

POSCAR file:
```
Pr3SnCl3
1.0
3.6921 2.1316 10.1869
-3.6921 2.1316 10.1869
0.0000 -4.2633 10.1869
Pr Sn Cl
6 2 6
Cartesian
-1.2210 -2.1152 13.4200
-2.4423 -0.0002 17.1406
-1.2213 2.1150 13.4200
1.2213 -2.1150 17.1406
2.4423 0.0002 13.4200
1.2210 2.1152 17.1406
0.0000 0.0000 5.0934
0.0000 0.0000 25.4671
-2.5090 -0.0007 11.8290
-1.2539 -2.1732 18.7315
1.2551 -2.1725 11.8290
-1.2551 2.1725 18.7315
1.2539 2.1732 11.8290
2.5090 0.0007 18.7315
```

Properties
magnetization: 0.00 μB per cell
SG: R-3
uncorrected formation energy: -1.467 eV per atom
calculated total energy: -68.3 eV/cell

No. 20
Material: PrSn2Cl8
Method: DFT, PBE
State: relaxed

POSCAR file:
```
PrSn2Cl8
1.0
5.5514 -5.0415 0.0000
5.5514 5.0415 0.0000
-1.8163 0.0000 6.6787
Pr Sn Cl
1 2 8
Cartesian
0.0000 0.0000 0.0000
2.5035 0.0000 3.2718
6.7830 0.0000 3.4069
2.4912 3.2320 4.9250
0.4051 0.0000 5.1110
6.7953 3.2320 1.7537
4.5802 0.0000 1.6641
4.7064 0.0000 5.0146
2.4912 -3.2320 4.9250
8.8814 0.0000 1.5677
6.7953 -3.2320 1.7537
```

Properties
magnetization: 0.00 μB per cell
SG: C2/m
uncorrected formation energy: -1.320 eV per atom
polymorph energy (0 for the lowest one): 0.000 eV/f.u.
calculated total energy: -42.1 eV/cell